## CuBr2 (GGA-PBE)

Data for CuBr2 after structural relaxation.

```
CuBr2
1.0
9.7360 0.0000 0.0000
0.0000 3.4958 0.0000
0.0000 0.0000 12.2696
Cu Br
4 8
direct
0.1915 0.2500 0.0332
0.3085 0.7500 0.5332
0.6915 0.2500 0.4668
0.8085 0.7500 0.9668
0.0818 0.7500 0.1393
0.1907 0.2500 0.4350
0.3093 0.7500 0.9350
0.4182 0.2500 0.6393
0.5818 0.7500 0.3607
0.6907 0.2500 0.0650
0.8093 0.7500 0.5650
0.9182 0.2500 0.8607
```

## Properties
- Space group: Pnma
- Formation energy (no corrections): -27.0 kJ per mole of atoms


## Cu5Br (GGA-PBE)

Data for Cu5Br after structural relaxation.

```
Cu5Br
1.0
3.5327 0.0000 0.0000
0.0000 1.7798 7.3155
0.0000 -1.7798 7.3155
Cu Br
5 1
direct
0.0000 0.0000 0.0000
0.0000 0.2440 0.2440
0.0000 0.6215 0.6215
0.5000 0.1212 0.1212
0.5000 0.7490 0.7490
0.5000 0.3957 0.3957
```

## Properties
- Space group: Amm2
- ΔE to the lowest computed polymorph: 0.00 kJ per mole of atoms
- Formation energy (no corrections): 17.5 kJ per mole of atoms


## CuBr2 (GGA-PBE)

Data for CuBr2 after structural relaxation.

```
CuBr2
1.0
10.2817 0.0000 0.0000
-5.1409 8.9042 0.0000
0.0000 0.0000 5.0087
Cu Br
4 8
direct
0.3333 0.6667 0.0074
0.3333 0.6667 0.4926
0.6667 0.3333 0.5074
0.6667 0.3333 0.9926
0.0000 0.0000 0.0000
0.0000 0.0000 0.5000
0.2147 0.4294 0.2500
0.2147 0.7853 0.2500
0.4294 0.2147 0.7500
0.5706 0.7853 0.2500
0.7853 0.2147 0.7500
0.7853 0.5706 0.7500
```

## Properties
- Space group: P6_3/mmc
- Formation energy (no corrections): 6.4 kJ per mole of atoms


## CuBr3 (GGA-PBE)

Data for CuBr3 after structural relaxation.

```
CuBr3
1.0
3.1468 0.0000 0.0000
0.0000 3.1468 0.0000
0.0000 0.0000 11.3030
Cu Br
1 3
direct
0.0000 0.0000 0.0000
0.0000 0.0000 0.5000
0.5000 0.5000 0.1503
0.5000 0.5000 0.8497
```

## Properties
- Space group: P4/mmm
- Formation energy (no corrections): 22.0 kJ per mole of atoms


## CuBr5 (GGA-PBE)

Data for CuBr5 after structural relaxation.

```
CuBr5
1.0
3.0404 0.0000 0.0000
0.0000 3.0404 0.0000
0.0000 0.0000 19.9243
Cu Br
1 5
direct
0.0000 0.0000 0.0000
0.0000 0.0000 0.2896
0.0000 0.0000 0.7104
0.5000 0.5000 0.0878
0.5000 0.5000 0.5000
0.5000 0.5000 0.9122
```

## Properties
- Space group: P4/mmm
- ΔE to the lowest computed polymorph: 28.34 kJ per mole of atoms
- Formation energy (no corrections): 25.5 kJ per mole of atoms


## CuBr3 (GGA-PBE)

Data for CuBr3 after structural relaxation.

```
CuBr3
1.0
4.6641 0.0000 0.0000
0.0000 4.6641 0.0000
0.0000 0.0000 4.6641
Cu Br
1 3
direct
0.0000 0.0000 0.0000
0.0000 0.5000 0.5000
0.5000 0.0000 0.5000
0.5000 0.5000 0.0000
```

## Properties
- Space group: Pm-3m
- Formation energy (no corrections): 64.6 kJ per mole of atoms


## Cu2Br3 (GGA-PBE)

Data for Cu2Br3 after structural relaxation.

```
Cu2Br3
1.0
3.8495 0.0000 0.0000
0.0015 6.9492 0.0000
0.0079 0.3121 10.5673
Cu Br
4 6
direct
0.0000 0.0000 0.0000
0.0001 0.3459 0.5612
0.0014 0.6843 0.2975
0.5007 0.5111 0.9899
0.0012 0.3374 0.9100
0.0015 0.6750 0.5254
0.0027 0.0106 0.2225
0.5004 0.1546 0.5779
0.5010 0.8406 0.9054
0.5019 0.5035 0.2197
```

## Properties
- Space group: P1
- ΔE to the lowest computed polymorph: 0.85 kJ per mole of atoms
- Formation energy (no corrections): -29.4 kJ per mole of atoms


## Cu2Br3 (GGA-PBE)

Data for Cu2Br3 after structural relaxation.

```
Cu2Br3
1.0
5.0083 0.0000 0.0000
0.0000 5.0083 0.0000
0.0000 0.0000 5.0083
Cu Br
2 3
direct
0.0000 0.0000 0.0000
0.5000 0.5000 0.5000
0.0000 0.0000 0.5000
0.0000 0.5000 0.0000
0.5000 0.0000 0.0000
```

## Properties
- Space group: Pm-3m
- ΔE to the lowest computed polymorph: 51.47 kJ per mole of atoms
- Formation energy (no corrections): 21.2 kJ per mole of atoms


## CuBr2 (GGA-PBE)

Data for CuBr2 after structural relaxation.

```
CuBr2
1.0
6.8713 -4.2070 0.0000
6.8713 4.2070 0.0000
0.0000 0.0000 3.4895
Cu Br
2 4
direct
0.2465 0.7535 0.7500
0.7535 0.2465 0.2500
0.1261 0.6316 0.2500
0.3684 0.8739 0.2500
0.6316 0.1261 0.7500
0.8739 0.3684 0.7500
```

## Properties
- Space group: Cmcm
- Formation energy (no corrections): -26.6 kJ per mole of atoms


## Cu2Br3 (GGA-PBE)

Data for Cu2Br3 after structural relaxation.

```
Cu2Br3
1.0
3.2785 1.8929 5.9963
-3.2785 1.8929 5.9963
0.0000 -3.7857 5.9963
Cu Br
4 6
direct
0.1587 0.1587 0.1587
0.3413 0.3413 0.3413
0.6587 0.6587 0.6587
0.8413 0.8413 0.8413
0.0689 0.7500 0.4311
0.2500 0.5689 0.9311
0.4311 0.0689 0.7500
0.5689 0.9311 0.2500
0.7500 0.4311 0.0689
0.9311 0.2500 0.5689
```

## Properties
- Space group: R-3c
- ΔE to the lowest computed polymorph: 9.34 kJ per mole of atoms
- Formation energy (no corrections): -20.9 kJ per mole of atoms


## Cu2Br3 (GGA-PBE)

Data for Cu2Br3 after structural relaxation.

```
Cu2Br3
1.0
6.9548 -1.8364 0.0000
6.9548 1.8364 0.0000
-0.9775 0.0000 10.6375
Cu Br
4 6
direct
0.0686 0.0686 0.2936
0.3636 0.3636 0.0801
0.6364 0.6364 0.9199
0.9314 0.9314 0.7064
0.1027 0.1027 0.7634
0.1497 0.1497 0.0819
0.3615 0.3615 0.5944
0.6385 0.6385 0.4056
0.8503 0.8503 0.9181
0.8973 0.8973 0.2366
```

## Properties
- Space group: C2/m
- ΔE to the lowest computed polymorph: 3.47 kJ per mole of atoms
- Formation energy (no corrections): -26.8 kJ per mole of atoms


## CuBr3 (GGA-PBE)

Data for CuBr3 after structural relaxation.

```
CuBr3
1.0
5.2102 0.0000 0.0000
0.0000 5.2102 0.0000
0.0000 0.0000 3.4594
Cu Br
1 3
direct
0.0000 0.0000 0.0000
0.0000 0.5000 0.5000
0.5000 0.0000 0.5000
0.5000 0.5000 0.0000
```

## Properties
- Space group: P4/mmm
- Formation energy (no corrections): 53.7 kJ per mole of atoms


## CuBr5 (GGA-PBE)

Data for CuBr5 after structural relaxation.

```
CuBr5
1.0
8.7342 -1.7566 0.0000
8.7342 1.7566 0.0000
-1.3383 0.0000 7.1759
Cu Br
1 5
direct
0.0000 0.0000 0.0000
0.2474 0.2474 0.0346
0.2494 0.2494 0.3683
0.4972 0.4972 0.7726
0.5036 0.5036 0.2280
0.7493 0.7493 0.7004
```

## Properties
- Space group: Cm
- ΔE to the lowest computed polymorph: 0.00 kJ per mole of atoms
- Formation energy (no corrections): -2.8 kJ per mole of atoms


## CuBr3 (GGA-PBE)

Data for CuBr3 after structural relaxation.

```
CuBr3
1.0
4.1755 2.4107 1.7116
-4.1755 2.4107 1.7116
0.0000 -4.8215 1.7116
Cu Br
1 3
direct
0.0000 0.0000 0.0000
0.0000 0.5000 0.5000
0.5000 0.0000 0.5000
0.5000 0.5000 0.0000
```

## Properties
- Space group: R-3m
- Formation energy (no corrections): 36.2 kJ per mole of atoms


## CuBr5 (GGA-PBE)

Data for CuBr5 after structural relaxation.

```
CuBr5
1.0
1.8041 -6.6380 0.0000
1.8041 6.6380 0.0000
0.0000 0.0000 8.7484
Cu Br
1 5
direct
0.0000 0.0000 0.0000
0.1669 0.8331 0.5000
0.3772 0.6228 0.0000
0.5000 0.5000 0.5000
0.6228 0.3772 0.0000
0.8331 0.1669 0.5000
```

## Properties
- Space group: Cmmm
- ΔE to the lowest computed polymorph: 1.53 kJ per mole of atoms
- Formation energy (no corrections): -1.3 kJ per mole of atoms


## CuBr3 (GGA-PBE)

Data for CuBr3 after structural relaxation.

```
CuBr3
1.0
1.7973 -4.3816 0.0000
1.7973 4.3816 0.0000
0.0000 0.0000 8.2437
Cu Br
1 3
direct
0.0000 0.0000 0.0000
0.0000 0.0000 0.5000
0.5000 0.5000 0.1946
0.5000 0.5000 0.8054
```

## Properties
- Space group: Cmmm
- Formation energy (no corrections): -5.3 kJ per mole of atoms


## CuBr2 (GGA-PBE)

Data for CuBr2 after structural relaxation.

```
CuBr2
1.0
0.0000 3.2892 3.2892
3.2892 0.0000 3.2892
3.2892 3.2892 0.0000
Cu Br
1 2
direct
0.0000 0.0000 0.0000
0.2500 0.2500 0.2500
0.7500 0.7500 0.7500
```

## Properties
- Space group: Fm-3m
- Formation energy (no corrections): 15.8 kJ per mole of atoms


## CuBr2 (GGA-PBE)

Data for CuBr2 after structural relaxation.

```
CuBr2
1.0
6.6543 0.0000 0.0000
0.0000 7.8749 0.0000
0.0000 0.0000 3.5022
Cu Br
2 4
direct
0.0000 0.0000 0.0000
0.5000 0.5000 0.5000
0.2088 0.1173 0.5000
0.2912 0.6173 0.0000
0.7088 0.3827 0.0000
0.7912 0.8827 0.5000
```

## Properties
- Space group: Pnnm
- Formation energy (no corrections): -27.0 kJ per mole of atoms


## CuBr2 (GGA-PBE)

Data for CuBr2 after structural relaxation.

```
CuBr2
1.0
-2.4161 2.4161 4.5933
2.4161 -2.4161 4.5933
2.4161 2.4161 -4.5933
Cu Br
1 2
direct
0.0000 0.0000 0.0000
0.0000 0.5000 0.5000
0.5000 0.0000 0.5000
```

## Properties
- Space group: I4/mmm
- Formation energy (no corrections): -9.4 kJ per mole of atoms


## CuBr3 (GGA-PBE)

Data for CuBr3 after structural relaxation.

```
CuBr3
1.0
-1.7901 4.0748 4.1724
1.7901 -4.0748 4.1724
1.7901 4.0748 -4.1724
Cu Br
1 3
direct
0.0000 0.0000 0.0000
0.1919 0.6919 0.5000
0.5000 0.5000 0.0000
0.8081 0.3081 0.5000
```

## Properties
- Space group: Immm
- Formation energy (no corrections): -7.2 kJ per mole of atoms